1.
Computed, not measured: a relaxed structure of TlPt7 at the PBE level of DFT.

The density of states at the Fermi level comes out at 14.747 states/eV/f.u. The total energy is -178.536 eV for the cell shown.

It has space group Fm-3m (No. 225), with a = 8.065 Å, b = 8.065 Å, c = 8.065 Å, α = 90.00°, β = 90.00° and γ = 90.00°. The inequivalent atoms are Tl at (0.000, 0.000, 0.000), Pt at (0.000, 0.000, 0.500) and Pt at (0.000, 0.250, 0.250).


2.
Computed, not measured: a relaxed structure of LiMnCr2Ir at the PBE level of DFT.

The density of states at the Fermi level comes out at 7.058 states/eV/f.u. The total energy is -33.561 eV for the cell shown.

It has space group P4/mmm (No. 123), with a = 4.095 Å, b = 4.095 Å, c = 4.090 Å, α = 90.00°, β = 90.00° and γ = 90.00°. The inequivalent atoms are Li at (0.000, 0.000, 0.000), Mn at (0.000, 0.000, 0.500), Cr at (0.000, 0.500, 0.500) and Ir at (0.500, 0.500, 0.000).


3.
Computed, not measured: a relaxed structure of ZnPt6Pb at the PBE level of DFT.

The density of states at the Fermi level comes out at 7.089 states/eV/f.u. The total energy is -43.018 eV for the cell shown.

It has space group P4/mmm (No. 123), with a = 4.025 Å, b = 4.025 Å, c = 8.105 Å, α = 90.00°, β = 90.00° and γ = 90.00°. The inequivalent atoms are Zn at (0.000, 0.000, 0.000), Pt at (0.000, 0.500, 0.232), Pt at (0.500, 0.500, 0.000), Pt at (0.500, 0.500, 0.500) and Pb at (0.000, 0.000, 0.500).


4.
Computed, not measured: a relaxed structure of CaTmAg4 at the PBE level of DFT.

The density of states at the Fermi level comes out at 2.180 states/eV/f.u. The total energy is -18.114 eV for the cell shown. For the energy relative to the lowest polymorph listed for this composition, the calculation gives 0.233 eV per atom.

It has space group P4/mmm (No. 123), with a = 3.928 Å, b = 3.928 Å, c = 9.629 Å, α = 90.00°, β = 90.00° and γ = 90.00°. The inequivalent atoms are Ca at (0.000, 0.000, 0.000), Tm at (0.500, 0.500, 0.500) and Ag at (0.000, 0.500, 0.260).


5.
Computed, not measured: a relaxed structure of LiAcSi2Pt5 at the PBE level of DFT.

The density of states at the Fermi level comes out at 3.192 states/eV/f.u. The total energy is -53.819 eV for the cell shown. The calculation puts the formation energy without anion corrections at -0.75 eV per atom.

It has space group P4/mmm (No. 123), with a = 4.166 Å, b = 4.166 Å, c = 9.963 Å, α = 90.00°, β = 90.00° and γ = 90.00°. The inequivalent atoms are Li at (0.000, 0.000, 0.000), Ac at (0.000, 0.000, 0.500), Si at (0.500, 0.500, 0.262), Pt at (0.000, 0.500, 0.150) and Pt at (0.500, 0.500, 0.500).


6.
Computed, not measured: a relaxed structure of SrPbAu2 at the PBE level of DFT.

The density of states at the Fermi level comes out at 1.810 states/eV/f.u. The total energy is -13.421 eV for the cell shown.

It has space group P4mm (No. 99), with a = 4.144 Å, b = 4.144 Å, c = 6.524 Å, α = 90.00°, β = 90.00° and γ = 90.00°. The inequivalent atoms are Sr at (0.000, 0.000, 0.000), Pb at (0.500, 0.500, 0.621), Au at (0.000, 0.000, 0.506) and Au at (0.500, 0.500, 0.177).


7.
Computed, not measured: a relaxed structure of TaAlPb at the PBE level of DFT.

The density of states at the Fermi level comes out at 2.079 states/eV/f.u. The total energy is -36.640 eV for the cell shown. For the energy relative to the lowest polymorph listed for this composition, the calculation gives 0.030 eV per atom.

It has space group I4mm (No. 107), with a = 3.006 Å, b = 3.006 Å, c = 14.419 Å, α = 90.00°, β = 90.00° and γ = 90.00°. The inequivalent atoms are Ta at (0.000, 0.000, 0.000), Al at (0.000, 0.000, 0.629) and Pb at (0.000, 0.000, 0.329).


8.
Computed, not measured: a relaxed structure of RbZr2In2 at the PBE level of DFT.

The density of states at the Fermi level comes out at 4.403 states/eV/f.u. The total energy is -46.595 eV for the cell shown. For the energy relative to the lowest polymorph listed for this composition, the calculation gives 0.000 eV per atom.

It has space group P4/mbm (No. 127), with a = 9.317 Å, b = 9.317 Å, c = 3.121 Å, α = 90.00°, β = 90.00° and γ = 90.00°. The inequivalent atoms are Rb at (0.000, 0.000, 0.000), Zr at (0.119, 0.381, 0.000) and In at (0.173, 0.673, 0.500).


9.
Computed, not measured: a relaxed structure of Ba6HgPd2Rh at the PBE level of DFT.

The density of states at the Fermi level comes out at 7.249 states/eV/f.u. The total energy is -99.139 eV for the cell shown.

It has space group R3 (No. 146, hexagonal axes), with a = 8.0862 Å, b = 8.0862 Å, c = 22.0408 Å, α = 90.00°, β = 90.00° and γ = 120.00°. The inequivalent atoms are Ba at (0.0023, 0.6454, 0.0000), Ba at (0.0328, 0.3376, 0.1572), Hg at (0.0000, 0.0000, 0.9029), Pd at (0.0000, 0.0000, 0.2481), Pd at (0.0000, 0.0000, 0.7638) and Rh at (0.0000, 0.0000, 0.4064).


10.
Computed, not measured: a relaxed structure of Na2SbPt2O6 at the PBE level of DFT.

The density of states at the Fermi level comes out at 3.530 states/eV/f.u. The total energy is -118.852 eV for the cell shown. The calculation puts the formation energy without anion corrections at -0.98 eV per atom.

It has space group C2/m (No. 12), with a = 6.025 Å, b = 9.265 Å, c = 6.129 Å, α = 90.00°, β = 115.78° and γ = 90.00°. The inequivalent atoms are Na at (0.000, 0.186, 0.000), Sb at (0.000, 0.000, 0.500), Pt at (0.000, 0.330, 0.500), O at (0.187, 0.164, 0.720) and O at (0.244, 0.500, 0.674).


11.
Computed, not measured: a relaxed structure of NbTlBr2 at the PBE level of DFT.

The density of states at the Fermi level comes out at 4.605 states/eV/f.u. The total energy is -60.594 eV for the cell shown. For the energy relative to the lowest polymorph listed for this composition, the calculation gives 0.524 eV per atom. The calculation puts the formation energy without anion corrections at 0.16 eV per atom.

It has space group I-42d (No. 122), with a = 5.970 Å, b = 5.970 Å, c = 16.563 Å, α = 90.00°, β = 90.00° and γ = 90.00°. The inequivalent atoms are Nb at (0.000, 0.000, 0.000), Tl at (0.000, 0.000, 0.500) and Br at (0.160, 0.250, 0.125).


| no. | total magnetic moment (μB/f.u.) |
| --- | --- |
| 1 | 0.00 |
| 2 | 0.00 |
| 3 | 0.00 |
| 4 | 0.00 |
| 5 | 0.00 |
| 6 | 0.00 |
| 7 | 0.00 |
| 8 | 0.00 |
| 9 | 0.00 |
| 10 | 0.93 |
| 11 | 3.85 |